Compound: MoBrCl2
Source: Alexandria
Functional: PBE
Structure: relaxed

* density: 3.27 g/cm³
* density of states at the Fermi level: 0.054 states/eV per atom
* E_form (uncorrected): -2.446 eV per formula unit
* offset from the most stable computed form: 0 meV/atom
* spin magnetization: 0.751 μB/atom
* SG: Pm, No. 6
* calculated volume: 31.356 A^3/atom

Unit cell a=3.7340 b=7.2528 c=7.2588 alpha=39.64 beta=90.00 gamma=90.00
With the nearest neighbours (Å) after each atom.
Positions (direct):
Cl (0.0000, 0.0099, 0.0099)  2 Mo 2.47
Br (0.5000, 0.6267, 0.6258)  2 Mo 2.62
Mo (0.0000, 0.4916, 0.4916)  4 Cl 2.47-2.48, 2 Br 2.62
Cl (0.5000, 0.3718, 0.3726)  2 Mo 2.48